! Ca2Tl2Ge GGA-PBE optimized geometry; values from VASP
&SYSTEM
  ibrav = 0, nat = 10, ntyp = 3
/
ATOMIC_SPECIES
Ca 40.08 Ca.upf
Tl 204.38 Tl.upf
Ge 72.64 Ge.upf
CELL_PARAMETERS angstrom
7.915 0.000 0.000
0.000 7.915 0.000
0.000 0.000 4.867
ATOMIC_POSITIONS crystal
Ca 0.340 0.840 0.000
Ca 0.660 0.160 0.000
Ca 0.840 0.660 0.000
Tl 0.152 0.652 0.500
Ge 0.500 0.500 0.000
Ca 0.160 0.340 0.000
Tl 0.848 0.348 0.500
Ge 0.000 0.000 0.000
Tl 0.348 0.152 0.500
Tl 0.652 0.848 0.500
! **ΔH_f (0 K)**: -0.7 eV per formula unit
! **Energy**: -2.8042 eV per atom
! **Energy above the lowest structure with this stoichiometry**: 117 meV/atom
! **Mass density**: 6117 kg/m³
! **SG**: P4/mbm

=====

! Ca2Tl2Ge GGA-PBE optimized geometry; values from VASP
&SYSTEM
  ibrav = 0, nat = 10, ntyp = 3
/
ATOMIC_SPECIES
Ge 72.64 Ge.upf
Ca 40.08 Ca.upf
Tl 204.38 Tl.upf
CELL_PARAMETERS angstrom
7.696 0.000 0.000
0.000 7.696 0.000
0.000 0.000 4.856
ATOMIC_POSITIONS crystal
Ge 0.000 0.000 0.000
Ca 0.171 0.671 0.500
Tl 0.139 0.361 0.000
Ca 0.671 0.829 0.500
Ge 0.500 0.500 0.000
Tl 0.639 0.139 0.000
Tl 0.861 0.639 0.000
Ca 0.329 0.171 0.500
Ca 0.829 0.329 0.500
Tl 0.361 0.861 0.000
! **ΔH_f (0 K)**: -1.3 eV per formula unit
! **Energy**: -2.9215 eV per atom
! **Energy above the lowest structure with this stoichiometry**: 0 meV/atom
! **Mass density**: 6484 kg/m³
! **SG**: P4/mbm

=====

! CaTlGe3 GGA-PBE optimized geometry; values from VASP
&SYSTEM
  ibrav = 0, nat = 5, ntyp = 3
/
ATOMIC_SPECIES
Ge 72.64 Ge.upf
Ca 40.08 Ca.upf
Tl 204.38 Tl.upf
CELL_PARAMETERS angstrom
5.468 0.000 0.000
0.000 5.468 0.000
0.000 0.000 5.468
ATOMIC_POSITIONS crystal
Ge 0.000 0.500 0.000
Ca 0.000 0.000 0.000
Ge 0.500 0.000 0.000
Tl 0.500 0.500 0.500
Ge 0.000 0.000 0.500
! **ΔH_f (0 K)**: 3.8 eV per formula unit
! **Energy**: -2.8853 eV per atom
! **Energy above the lowest structure with this stoichiometry**: 182 meV/atom
! **Mass density**: 4696 kg/m³
! **SG**: Pm-3m